Here is Ba2PaV3O12 after structural relaxation from Alexandria via LeMat-Bulk. Energies are from PBE with a Hubbard U.

## Properties
Magnetic moment: 0.00 μB/atom
Volume: 256 Å³/f.u.
E: -138.15 eV per cell

a = 7.119 Å, b = 7.119 Å, c = 7.119 Å
α = 60.20°, β = 60.20°, γ = 60.20°
Fractional coordinates of all 18 atoms:
Ba  0.123  0.123  0.123
Ba  0.877  0.877  0.877
Pa  0.500  0.500  0.500
V  0.000  0.500  0.500
V  0.500  0.000  0.500
V  0.500  0.500  0.000
O  0.123  0.605  0.605
O  0.206  0.206  0.581
O  0.206  0.581  0.206
O  0.395  0.395  0.877
O  0.395  0.877  0.395
O  0.419  0.794  0.794
O  0.581  0.206  0.206
O  0.605  0.123  0.605
O  0.605  0.605  0.123
O  0.794  0.419  0.794
O  0.794  0.794  0.419
O  0.877  0.395  0.395